Entry from Alexandria: crystalline Hg6C7 at its relaxed geometry (PBE).

Computed properties:
Formation energy = 1.47 eV per atom
Space-group type = R-3m
Magnetic moment = 1.881 μB/f.u.

a = 14.0841 Å, b = 14.0841 Å, c = 14.0841 Å
α = 21.42°, β = 21.42°, γ = 21.42°
Last column: magnetic moment on the atom in μB.
Element x y z (fractional)
C (0.5343, 0.5343, 0.2652)  0.01
C (0.2652, 0.5343, 0.5343)  0.01
C (0.5343, 0.2652, 0.5343)  0.01
C (0.4657, 0.4657, 0.7348)  0.01
C (0.4657, 0.7348, 0.4657)  0.01
C (0.7348, 0.4657, 0.4657)  0.01
C (0.5000, 0.5000, 0.5000)  0.78
Hg (0.0458, 0.0458, 0.0458)  0.00
Hg (0.9542, 0.9542, 0.9542)  0.00
Hg (0.2222, 0.2222, 0.2222)  0.01
Hg (0.7778, 0.7778, 0.7778)  0.01
Hg (0.3159, 0.3159, 0.3159)  0.00
Hg (0.6841, 0.6841, 0.6841)  0.00